No. 1
{
  "formula": "AuCO2F",
  "functional": "GGA-PBEsol",
  "state": "relaxed",
  "lattice_angstrom": [[3.220, 0.000, 0.000], [0.000, 3.220, 0.000], [0.000, 0.000, 4.673]],
  "species": ["O", "O", "Au", "F", "C"],
  "fractional_positions": [[0.000, 0.500, 0.000], [0.500, 0.000, 0.000], [0.000, 0.000, 0.500], [0.500, 0.500, 0.500], [0.000, 0.000, 0.000]],
  "total_energy_ev_per_cell": -22.7
}

No. 2
{
  "formula": "AuCO2F",
  "functional": "GGA-PBEsol",
  "state": "relaxed",
  "lattice_angstrom": [[-2.787, 2.691, 0.800], [-2.476, -2.887, 1.086], [1.379, 0.275, 3.877]],
  "species": ["O", "O", "F", "Au", "C"],
  "fractional_positions": [[0.500, 0.000, 0.000], [0.000, 0.500, 0.000], [0.000, 0.000, 0.500], [0.000, 0.000, 0.000], [0.500, 0.500, 0.500]],
  "total_energy_ev_per_cell": -18.4
}

No. 3
{
  "formula": "FeAuC2",
  "functional": "GGA-PBEsol",
  "state": "relaxed",
  "lattice_angstrom": [[-2.410, 0.385, 2.948], [-3.711, -0.825, -0.442], [-1.483, -3.104, 1.677]],
  "species": ["C", "C", "Au", "Fe"],
  "fractional_positions": [[0.250, 0.250, 0.250], [0.750, 0.750, 0.750], [0.500, 0.500, 0.500], [0.000, 0.000, 0.000]],
  "ef_mev_per_atom": 1934
}

No. 4
{
  "formula": "FeAu3C",
  "functional": "GGA-PBEsol",
  "state": "relaxed",
  "lattice_angstrom": [[-3.094, -2.080, 2.003], [2.164, -3.614, -0.408], [1.911, 0.726, 3.706]],
  "species": ["Fe", "C", "Au", "Au", "Au"],
  "fractional_positions": [[0.500, 0.500, 0.500], [0.000, 0.000, 0.000], [0.000, 0.500, 0.000], [0.500, 0.000, 0.000], [0.000, 0.000, 0.500]],
  "ef_mev_per_atom": 928
}

No. 5
{
  "formula": "FeTcAu2C",
  "functional": "GGA-PBEsol",
  "state": "relaxed",
  "lattice_angstrom": [[4.147, 0.000, 0.000], [0.000, 4.689, 0.000], [0.000, 0.000, 4.689]],
  "species": ["Fe", "Au", "Au", "C", "Tc"],
  "fractional_positions": [[0.000, 0.000, 0.000], [0.000, 0.500, 0.000], [0.000, 0.000, 0.500], [0.500, 0.500, 0.500], [0.500, 0.000, 0.000]],
  "ef_mev_per_atom": 2411
}

No. 6
{
  "formula": "Fe2WAuC",
  "functional": "GGA-PBEsol",
  "state": "relaxed",
  "lattice_angstrom": [[-2.613, -1.861, 1.807], [3.083, -1.017, 3.411], [-1.225, 3.934, 2.280]],
  "species": ["Fe", "Fe", "Au", "W", "C"],
  "fractional_positions": [[0.000, 0.000, 0.500], [0.000, 0.500, 0.000], [0.000, 0.000, 0.000], [0.500, 0.500, 0.500], [0.500, 0.000, 0.000]],
  "ef_mev_per_atom": 2263
}

No. 7
{
  "formula": "MgGa2AuC",
  "functional": "GGA-PBEsol",
  "state": "relaxed",
  "lattice_angstrom": [[-1.809, 2.842, 2.606], [1.947, -1.786, 3.299], [3.294, 2.593, -0.540]],
  "species": ["Ga", "Ga", "C", "Au", "Mg"],
  "fractional_positions": [[0.000, 0.500, 0.000], [0.000, 0.000, 0.500], [0.000, 0.000, 0.000], [0.500, 0.500, 0.500], [0.500, 0.000, 0.000]],
  "ef_mev_per_atom": 283
}

No. 8
{
  "formula": "Ga2PbAuC",
  "functional": "GGA-PBEsol",
  "state": "relaxed",
  "lattice_angstrom": [[4.261, 0.000, 0.000], [0.000, 4.261, 0.000], [0.000, 0.000, 4.897]],
  "species": ["C", "Au", "Ga", "Ga", "Pb"],
  "fractional_positions": [[0.000, 0.000, 0.000], [0.000, 0.000, 0.500], [0.500, 0.000, 0.000], [0.000, 0.500, 0.000], [0.500, 0.500, 0.500]],
  "ef_mev_per_atom": 697
}